1.
Here is a relaxed structure of Ce2AlBi5 from Alexandria. Energies are from PBE-GGA.

Crystal system ... orthorhombic
Formation energy from the elements ... -0.405 eV/atom
D(E_F) ... 1.342 states/eV per atom

a b c (Å): 7.9050 13.1820 4.5680
angles (deg): 90.00 90.00 90.00
Space group Pbam (No. 55)
One atom of each set of equivalent atoms:
Ce: 0.1502 0.1581 0.0000 (multiplicity 4)
Al: 0.0000 0.5000 0.5000 (multiplicity 2)
Bi: 0.0000 0.0000 0.5000 (multiplicity 2)
Bi: 0.0699 0.7198 0.5000 (multiplicity 4)
Bi: 0.2152 0.4128 0.0000 (multiplicity 4)

=====

2.
Here is a relaxed structure of Pu2BeOs from Alexandria. Energies are from PBE-GGA.

Crystal system ... tetragonal
Formation energy from the elements ... 0.158 eV/atom
D(E_F) ... 2.380 states/eV per atom

a b c (Å): 3.5682 3.5682 5.7803
angles (deg): 90.00 90.00 90.00
Space group P4/mmm (No. 123)
One atom of each set of equivalent atoms:
Pu: 0.0000 0.0000 0.2407 (multiplicity 2)
Be: 0.5000 0.5000 0.0000 (multiplicity 1)
Os: 0.5000 0.5000 0.5000 (multiplicity 1)

=====

3.
Here is a relaxed structure of LiFe2Br from Alexandria. Energies are from PBE-GGA.

Offset from the most stable computed form ... 72 meV/atom
Crystal system ... tetragonal
Energy relative to the elements, uncorrected ... 2.07 kcal/mol of atoms
D(E_F) ... 0.808 states/eV per atom

a b c (Å): 3.3543 3.3543 12.2792
angles (deg): 90.00 90.00 90.00
Space group I4/mmm (No. 139)
One atom of each set of equivalent atoms:
Li: 0.0000 0.0000 0.0000 (multiplicity 2)
Fe: 0.0000 0.0000 0.2858 (multiplicity 4)
Br: 0.0000 0.0000 0.5000 (multiplicity 2)

=====

4.
Here is a relaxed structure of K2AcReN4 from Alexandria. Energies are from PBE-GGA.

Crystal system ... tetragonal
Energy relative to the elements, uncorrected ... -12.67 kcal/mol of atoms
D(E_F) ... 0.000 states/eV per atom

a b c (Å): 6.1272 6.1272 9.3274
angles (deg): 90.00 90.00 90.00
Space group I-4 (No. 82)
One atom of each set of equivalent atoms:
K: 0.0000 0.0000 0.0000 (multiplicity 2)
K: 0.0000 0.5000 0.2500 (multiplicity 2)
Ac: 0.0000 0.0000 0.5000 (multiplicity 2)
Re: 0.0000 0.5000 0.7500 (multiplicity 2)
N: 0.1527 0.3025 0.6400 (multiplicity 8)

=====

5.
Here is a relaxed structure of FeSi4P4 from Alexandria. Energies are from PBE-GGA.

Crystal system ... triclinic
Energy relative to the elements, uncorrected ... -6.54 kcal/mol of atoms

a b c (Å): 4.8871 5.5499 6.0806
angles (deg): 85.41 68.42 70.47
Space group P1 (No. 1)
One atom of each set of equivalent atoms:
Fe: 0.0000 0.0000 0.0000 (multiplicity 1)
Si: 0.2394 0.3374 0.4305 (multiplicity 1)
Si: 0.3444 0.5986 0.8858 (multiplicity 1)
Si: 0.6808 0.7769 0.2162 (multiplicity 1)
Si: 0.8471 0.9712 0.6971 (multiplicity 1)
P: 0.1562 0.0088 0.3082 (multiplicity 1)
P: 0.3284 0.2169 0.7693 (multiplicity 1)
P: 0.6361 0.3980 0.1163 (multiplicity 1)
P: 0.7625 0.6404 0.5644 (multiplicity 1)

=====

6.
Here is a relaxed structure of Tl4HgI2Br from Alexandria. Energies are from PBE-GGA.

Crystal system ... monoclinic
Energy relative to the elements, uncorrected ... -10.50 kcal/mol of atoms
D(E_F) ... 0.416 states/eV per atom

a b c (Å): 8.3106 4.5198 8.7426
angles (deg): 90.00 105.83 90.00
Space group P2/m (No. 10)
One atom of each set of equivalent atoms:
Tl: 0.2278 0.0000 0.2428 (multiplicity 2)
Tl: 0.2342 0.5000 0.7399 (multiplicity 2)
Hg: 0.0000 0.5000 0.0000 (multiplicity 1)
I: 0.5000 0.0000 0.0000 (multiplicity 1)
I: 0.5000 0.5000 0.5000 (multiplicity 1)
Br: 0.0000 0.0000 0.5000 (multiplicity 1)

=====

7.
Here is a relaxed structure of Ba2BiPt from Alexandria. Energies are from PBE-GGA.

Crystal system ... tetragonal
Formation energy from the elements ... -0.720 eV/atom
D(E_F) ... 0.557 states/eV per atom

a b c (Å): 3.9264 3.9264 8.8819
angles (deg): 90.00 90.00 90.00
Space group P4/mmm (No. 123)
One atom of each set of equivalent atoms:
Ba: 0.0000 0.0000 0.2140 (multiplicity 2)
Bi: 0.5000 0.5000 0.5000 (multiplicity 1)
Pt: 0.5000 0.5000 0.0000 (multiplicity 1)

=====

8.
Here is a relaxed structure of NiPC3 from Alexandria. Energies are from PBE-GGA.

Offset from the most stable computed form ... 495 meV/atom
Crystal system ... cubic
Formation energy from the elements ... 2.521 eV/atom
D(E_F) ... 0.528 states/eV per atom

a b c (Å): 3.7696 3.7696 3.7696
angles (deg): 90.00 90.00 90.00
Space group Pm-3m (No. 221)
One atom of each set of equivalent atoms:
Ni: 0.0000 0.0000 0.0000 (multiplicity 1)
P: 0.5000 0.5000 0.5000 (multiplicity 1)
C: 0.0000 0.0000 0.5000 (multiplicity 3)

=====

9.
Here is a relaxed structure of Ta2BeAl from Alexandria. Energies are from PBE-GGA.

Offset from the most stable computed form ... 324 meV/atom
Crystal system ... tetragonal
Formation energy from the elements ... 0.147 eV/atom
D(E_F) ... 0.435 states/eV per atom

a b c (Å): 3.3967 3.3967 5.6180
angles (deg): 90.00 90.00 90.00
Space group P4mm (No. 99)
One atom of each set of equivalent atoms:
Ta: 0.0000 0.0000 0.0000 (multiplicity 1)
Ta: 0.5000 0.5000 0.2340 (multiplicity 1)
Be: 0.5000 0.5000 0.7588 (multiplicity 1)
Al: 0.0000 0.0000 0.5088 (multiplicity 1)

=====

10.
Here is a relaxed structure of KTcSe2 from Alexandria. Energies are from PBE-GGA.

Offset from the most stable computed form ... 308 meV/atom
Crystal system ... orthorhombic
Energy relative to the elements, uncorrected ... -4.26 kcal/mol of atoms
D(E_F) ... 1.005 states/eV per atom

a b c (Å): 3.6200 6.7163 9.1567
angles (deg): 90.00 90.00 90.00
Space group Immm (No. 71)
One atom of each set of equivalent atoms:
K: 0.0000 0.0000 0.0000 (multiplicity 2)
Tc: 0.0000 0.0000 0.5000 (multiplicity 2)
Se: 0.0000 0.5000 0.1854 (multiplicity 4)

=====

11.
Here is a relaxed structure of MnAlRe2 from Alexandria. Energies are from PBE-GGA.

Crystal system ... monoclinic
Formation energy from the elements ... -0.022 eV/atom
D(E_F) ... 0.976 states/eV per atom

a b c (Å): 2.6870 4.2291 5.0272
angles (deg): 90.00 102.56 90.00
Space group Pm (No. 6)
One atom of each set of equivalent atoms:
Mn: 0.0000 0.0000 0.0000 (multiplicity 1)
Al: 0.2390 0.5000 0.7763 (multiplicity 1)
Re: 0.5458 0.0000 0.5157 (multiplicity 1)
Re: 0.8029 0.5000 0.2612 (multiplicity 1)

=====

12.
Here is a relaxed structure of BeAl2Pd2 from Alexandria. Energies are from PBE-GGA.

Offset from the most stable computed form ... 0 meV/atom
Crystal system ... tetragonal
Formation energy from the elements ... -0.528 eV/atom
D(E_F) ... 0.253 states/eV per atom

a b c (Å): 6.0502 6.0502 3.9710
angles (deg): 90.00 90.00 90.00
Space group P4/mbm (No. 127)
One atom of each set of equivalent atoms:
Be: 0.0000 0.0000 0.0000 (multiplicity 2)
Al: 0.1585 0.3415 0.5000 (multiplicity 4)
Pd: 0.1608 0.6608 0.0000 (multiplicity 4)

=====

13.
Here is a relaxed structure of YMg7Sn4 from Alexandria. Energies are from PBE-GGA.

Crystal system ... monoclinic
Formation energy from the elements ... 0.031 eV/atom
D(E_F) ... 0.492 states/eV per atom

a b c (Å): 12.6069 5.7258 10.6051
angles (deg): 90.00 125.05 90.00
Space group C2/m (No. 12)
One atom of each set of equivalent atoms:
Y: 0.0000 0.0000 0.0000 (multiplicity 2)
Mg: 0.0000 0.5000 0.0000 (multiplicity 2)
Mg: 0.0794 0.0000 0.4157 (multiplicity 4)
Mg: 0.1869 0.5000 0.9031 (multiplicity 4)
Mg: 0.2044 0.5000 0.6404 (multiplicity 4)
Sn: 0.0960 0.5000 0.3163 (multiplicity 4)
Sn: 0.2085 0.0000 0.7718 (multiplicity 4)

=====

| no. | VASP energy (eV/atom) | total magnetization (μB per formula unit) |
| --- | --- | --- |
| 1 | -4.782 | 0.8 |
| 2 | -10.747 | 9.2 |
| 3 | -5.038 | 5.8 |
| 4 | -7.056 | 0.0 |
| 5 | -6.038 | 0.0 |
| 6 | -2.273 | 0.0 |
| 7 | -4.161 | 0.0 |
| 8 | -5.251 | 0.0 |
| 9 | -7.647 | 0.0 |
| 10 | -4.793 | 2.1 |
| 11 | -9.474 | 1.2 |
| 12 | -4.847 | 0.0 |
| 13 | -2.772 | 0.0 |